1.
The following is a DFT calculation (PBE) of Cs6Rb after structural relaxation.

The density of states at the Fermi level is 18.92 states/eV/cell. As for the formation energy: 26.21 kJ/mol of atoms. Its excess energy over the best structure of this formula in the dataset is 269.1 meV/atom.

It has space group Im-3m (No. 229), with a = 13.141 Å, b = 13.141 Å, c = 13.141 Å, α = 90.00°, β = 90.00° and γ = 90.00°. Symmetry generates all atoms from Cs at (0.000, 0.250, 0.500) and Rb at (0.000, 0.000, 0.000).



2.
The following is a DFT calculation (PBE) of Pr2AlAg after structural relaxation.

The density of states at the Fermi level is 9.48 states/eV/cell. As for the formation energy: 18.67 kJ/mol of atoms.

It has space group R-3m (No. 166, hexagonal axes), with a = 3.5119 Å, b = 3.5119 Å, c = 32.8717 Å, α = 90.00°, β = 90.00° and γ = 120.00°. Symmetry generates all atoms from Pr at (0.0000, 0.0000, 0.0949), Al at (0.0000, 0.0000, 0.5000) and Ag at (0.0000, 0.0000, 0.0000).



3.
The following is a DFT calculation (PBE) of NbGeN after structural relaxation.

The density of states at the Fermi level is 1.89 states/eV/cell. As for the energy relative to the elements, uncorrected: -384 meV per atom. Its excess energy over the best structure of this formula in the dataset is 85.7 meV/atom.

It has space group P2_1/m (No. 11), with a = 2.919 Å, b = 5.254 Å, c = 6.121 Å, α = 90.00°, β = 103.74° and γ = 90.00°. Symmetry generates all atoms from Nb at (0.062, 0.250, 0.126), Ge at (0.234, 0.750, 0.465) and N at (0.500, 0.000, 0.000).



4.
The following is a DFT calculation (PBE) of AlPt5 after structural relaxation.

The density of states at the Fermi level is 4.64 states/eV/cell. As for the formation energy: -0.50 kJ/mol of atoms.

It has space group P6/mmm (No. 191), with a = 5.1694 Å, b = 5.1694 Å, c = 4.5973 Å, α = 90.00°, β = 90.00° and γ = 120.00°. Symmetry generates all atoms from Al at (0.0000, 0.0000, 0.0000), Pt at (0.0000, 0.5000, 0.5000) and Pt at (0.3333, 0.6667, 0.0000).



5.
The following is a DFT calculation (PBE) of DyNpGe4 after structural relaxation.

The density of states at the Fermi level is 52.99 states/eV/cell. As for the formation energy: -13.80 kJ/mol of atoms.

It has space group F-43m (No. 216), with a = 7.891 Å, b = 7.891 Å, c = 7.891 Å, α = 90.00°, β = 90.00° and γ = 90.00°. Symmetry generates all atoms from Dy at (0.000, 0.000, 0.000), Np at (0.250, 0.250, 0.250) and Ge at (0.125, 0.125, 0.625).



6.
The following is a DFT calculation (PBE) of K2LaTiZn after structural relaxation.

The density of states at the Fermi level is 11.48 states/eV/cell. As for the formation energy: 85.76 kJ/mol of atoms.

It has space group P4/mmm (No. 123), with a = 5.915 Å, b = 5.915 Å, c = 5.456 Å, α = 90.00°, β = 90.00° and γ = 90.00°. Symmetry generates all atoms from K at (0.000, 0.500, 0.000), La at (0.000, 0.000, 0.500), Ti at (0.500, 0.500, 0.500) and Zn at (0.500, 0.500, 0.000).